# 1
Rb2NaAu2F6: relaxed, PBE.

Values from the calculation:
The calculation puts the volume at 20.0 A^3/atom. The formation energy without anion corrections is -1751.4 meV/atom.

```
Rb2NaAu2F6
1.0
6.033 0.000 0.000
-3.017 6.157 -0.089
0.000 -3.616 5.972
Rb F Na Au
2 6 1 2
direct
0.721 0.441 0.165
0.279 0.559 0.835
0.305 0.138 0.788
0.695 0.862 0.212
0.834 0.138 0.788
0.268 0.537 0.369
0.166 0.862 0.212
0.732 0.463 0.631
0.500 0.000 0.500
0.076 0.152 0.258
0.924 0.848 0.742
```

# 2
RbNa4Au3F12: relaxed, PBE.

Values from the calculation:
The calculation puts the volume at 15.5 A^3/atom. The formation energy without anion corrections is -1910.6 meV/atom.

```
RbNa4Au3F12
1.0
-5.209 3.196 -4.157
0.938 -7.001 -2.176
-2.090 0.117 7.089
Au Na Rb F
3 4 1 12
direct
0.500 0.000 0.500
0.000 0.500 0.500
0.500 0.500 0.000
0.000 0.500 0.000
0.500 0.000 0.000
0.500 0.500 0.500
0.000 0.000 0.500
0.000 0.000 0.000
0.845 0.680 0.164
0.320 0.836 0.155
0.836 0.155 0.320
0.680 0.164 0.845
0.516 0.680 0.836
0.164 0.484 0.320
0.484 0.320 0.164
0.680 0.836 0.516
0.836 0.516 0.680
0.320 0.164 0.484
0.164 0.845 0.680
0.155 0.320 0.836
```

# 3
RbNa2AuF: relaxed, PBE.

Values from the calculation:
The calculation puts the volume at 25.6 A^3/atom. The formation energy without anion corrections is -1103.8 meV/atom.

```
RbNa2AuF
1.0
-0.265 3.688 3.061
-3.360 2.043 -2.752
-3.948 -2.651 2.852
Na Au F Rb
2 1 1 1
direct
0.000 0.500 0.000
0.500 0.000 0.000
0.500 0.500 0.500
0.000 0.000 0.000
0.000 0.000 0.500
```

# 4
Rb2NaAuF6: relaxed, PBE.

Values from the calculation:
The calculation puts the volume at 18.1 A^3/atom. The formation energy without anion corrections is -2109.2 meV/atom.

```
Rb2NaAuF6
1.0
-1.286 -1.067 5.797
2.524 -5.462 -0.445
5.008 -1.345 4.004
F Au Na Rb
6 1 1 2
direct
0.731 0.268 0.000
0.269 0.269 0.000
0.225 0.225 0.549
0.731 0.731 0.000
0.775 0.775 0.451
0.269 0.732 0.000
0.500 0.500 0.000
0.000 0.000 0.000
0.750 0.250 0.500
0.250 0.750 0.500
```